Na4Hf3ZnSe8 after structural relaxation, computed with PBE. Values from VASP.

The structure in Quantum ESPRESSO input format:
```
&SYSTEM
  ibrav = 0, nat = 16, ntyp = 4
/
ATOMIC_SPECIES
Na 22.99 Na.upf
Hf 178.49 Hf.upf
Zn 65.41 Zn.upf
Se 78.96 Se.upf
CELL_PARAMETERS angstrom
3.8838 2.2423 7.0056
-3.8838 2.2423 7.0056
0.0000 -4.4846 7.0056
ATOMIC_POSITIONS crystal
Na 0.0000 0.0000 0.0000
Na 0.0000 0.5000 0.5000
Na 0.5000 0.0000 0.5000
Na 0.5000 0.5000 0.0000
Hf 0.0000 0.0000 0.5000
Hf 0.0000 0.5000 0.0000
Hf 0.5000 0.0000 0.0000
Zn 0.5000 0.5000 0.5000
Se 0.2392 0.7387 0.7387
Se 0.2410 0.2410 0.2410
Se 0.2613 0.2613 0.7608
Se 0.2613 0.7608 0.2613
Se 0.7387 0.2392 0.7387
Se 0.7387 0.7387 0.2392
Se 0.7590 0.7590 0.7590
Se 0.7608 0.2613 0.2613
```

symmetry	R-3m, No. 166
E_tot	-82.88	eV per cell
D(E_F)	0.302	states/eV/atom
formation energy (no corrections)	-1.16	eV/atom
magnetization	0.00	μB per formula unit